Compound: TlCd2Ni
Source: Alexandria
Functional: PBE
Structure: optimized geometry

DOS at the Fermi energy	2.13	states/eV/cell
ΔE_f	0.219	eV per atom
relative energy among the computed polymorphs	134	meV/atom

Cell lengths 3.451, 4.459, 5.551 Å; angles 90.00, 101.17, 90.00 degrees
Space group P2/m (No. 10)
One atom of each set of equivalent atoms:
Tl 0.000 0.000 0.000
Cd 0.359 0.500 0.721
Ni 0.000 0.000 0.500



Compound: LiBeZnPtI
Source: Alexandria
Functional: PBE
Structure: optimized geometry

DOS at the Fermi energy	0.91	states/eV/cell
relative energy among the computed polymorphs	68	meV/atom
raw formation energy	-1.94	eV per formula unit

Cell lengths 3.730, 3.912, 6.998 Å; angles 89.57, 74.70, 89.95 degrees
Space group P1 (No. 1)
One atom of each set of equivalent atoms:
Li 0.000 0.000 0.000
Be 0.565 0.501 0.867
Zn 0.667 0.004 0.663
Pt 0.150 0.503 0.696
I 0.387 0.509 0.227



Compound: Na2AgPbBr6
Source: Alexandria
Functional: PBE
Structure: optimized geometry

DOS at the Fermi energy	3.42	states/eV/cell
raw formation energy	-9.34	eV per formula unit

Cell lengths 7.396, 7.396, 7.924 Å; angles 117.77, 90.03, 119.95 degrees
Space group P1 (No. 1)
One atom of each set of equivalent atoms:
Na 0.000 0.000 0.000
Na 0.499 0.998 0.498
Ag 0.804 0.609 0.413
Pb 0.305 0.610 0.915
Br 0.070 0.497 0.193
Br 0.179 0.097 0.679
Br 0.427 0.123 0.193
Br 0.582 0.760 0.678
Br 0.696 0.766 0.193
Br 0.917 0.499 0.678



Compound: ReOsBr
Source: Alexandria
Functional: PBE
Structure: optimized geometry

DOS at the Fermi energy	10.70	states/eV/cell
relative energy among the computed polymorphs	0	meV/atom
raw formation energy	3.20	eV per formula unit

Cell lengths 2.844, 4.991, 14.659 Å; angles 90.00, 90.00, 90.00 degrees
Space group Fmm2 (No. 42)
One atom of each set of equivalent atoms:
Re 0.000 0.000 0.000
Os 0.000 0.000 0.358
Br 0.000 0.000 0.673